Entry 1:
The following is a DFT calculation (PBEsol) of a geometry-optimized Li4V3CrO8 structure.

Geometry as POSCAR:
```
Li4V3CrO8
1.0
5.166 0.161 0.000
-1.616 4.547 0.000
0.000 0.000 5.580
Li V Cr O
4 3 1 8
Direct
0.000 0.000 0.743
0.000 0.000 0.257
0.000 0.500 0.500
0.000 0.500 0.000
0.500 0.000 0.000
0.500 0.500 0.782
0.500 0.500 0.218
0.500 0.000 0.500
0.266 0.753 0.749
0.266 0.753 0.251
0.720 0.736 0.500
0.280 0.264 0.500
0.760 0.756 0.000
0.734 0.247 0.749
0.240 0.244 0.000
0.734 0.247 0.251
```

Output
energy relative to the elements, uncorrected = -35.9 eV/f.u.
energy above the most stable polymorph in this dataset = 0.02 eV per formula unit
DFT total energy = -7.808 eV per atom

=====

Entry 2:
The following is a DFT calculation (PBEsol) of a geometry-optimized Li3V3Cr2O10 structure.

Geometry as POSCAR:
```
Li3V3Cr2O10
1.0
-1.897 0.535 4.470
0.420 -4.607 1.593
5.693 -0.284 4.868
Li V Cr O
3 3 2 10
Direct
0.000 0.500 0.500
0.497 0.782 0.426
0.503 0.218 0.574
0.500 0.000 0.000
0.995 0.340 0.896
0.005 0.660 0.104
0.995 0.893 0.700
0.005 0.107 0.300
0.222 0.961 0.865
0.778 0.039 0.135
0.737 0.662 0.947
0.263 0.338 0.053
0.779 0.878 0.532
0.221 0.122 0.468
0.241 0.766 0.239
0.759 0.234 0.761
0.225 0.538 0.670
0.775 0.462 0.330
```

Output
energy relative to the elements, uncorrected = -39.0 eV/f.u.
DFT total energy = -8.156 eV per atom

=====

Entry 3:
The following is a DFT calculation (PBEsol) of a geometry-optimized Li2VCr3O8 structure.

Geometry as POSCAR:
```
Li2VCr3O8
1.0
5.766 0.000 0.000
-2.883 4.985 -0.001
0.000 -3.231 4.829
Li V Cr O
2 1 3 8
Direct
0.000 0.500 0.500
0.500 0.500 0.500
0.000 0.000 0.000
0.500 0.000 0.000
0.000 0.500 0.000
0.500 0.500 0.000
0.768 0.536 0.784
0.232 0.464 0.216
0.267 0.534 0.789
0.733 0.466 0.211
0.768 0.025 0.794
0.257 0.025 0.794
0.743 0.975 0.206
0.232 0.975 0.206
```

Output
energy relative to the elements, uncorrected = -28.7 eV/f.u.
energy above the most stable polymorph in this dataset = 0.91 eV per formula unit
DFT total energy = -8.210 eV per atom

=====

Entry 4:
The following is a DFT calculation (PBEsol) of a geometry-optimized Li4V3Cr2O10 structure.

Geometry as POSCAR:
```
Li4V3Cr2O10
1.0
-4.118 -2.592 -0.964
0.342 -0.380 -4.887
1.990 -6.989 -1.764
Li V Cr O
4 3 2 10
Direct
0.506 0.777 0.437
0.987 0.500 0.500
0.474 0.385 0.233
0.502 0.205 0.591
0.520 0.983 0.994
0.002 0.357 0.886
0.998 0.692 0.083
0.996 0.881 0.714
0.001 0.100 0.308
0.234 0.978 0.857
0.717 0.642 0.949
0.780 0.872 0.545
0.244 0.762 0.231
0.236 0.546 0.658
0.769 0.458 0.329
0.770 0.234 0.764
0.228 0.123 0.465
0.250 0.334 0.050
0.772 0.050 0.135
```

Output
energy relative to the elements, uncorrected = -41.2 eV/f.u.
DFT total energy = -7.943 eV per atom

=====

Entry 5:
The following is a DFT calculation (PBEsol) of a geometry-optimized LiVCrO4 structure.

Geometry as POSCAR:
```
LiVCrO4
1.0
5.123 0.003 -0.026
-0.175 5.740 -0.057
-2.474 -1.311 7.052
Li V Cr O
3 3 3 12
Direct
0.007 0.991 0.005
0.673 0.664 0.670
0.324 0.341 0.326
0.519 0.253 0.986
0.187 0.932 0.659
0.811 0.073 0.345
0.486 0.750 0.007
0.152 0.417 0.672
0.844 0.581 0.327
0.567 0.955 0.841
0.542 0.471 0.837
0.224 0.628 0.512
0.211 0.141 0.499
0.872 0.810 0.173
0.889 0.286 0.172
0.110 0.713 0.823
0.124 0.191 0.833
0.786 0.861 0.500
0.771 0.372 0.490
0.461 0.521 0.160
0.439 0.047 0.160
```

Output
energy relative to the elements, uncorrected = -15.0 eV/f.u.
energy above the most stable polymorph in this dataset = 0.00 eV per formula unit
DFT total energy = -8.267 eV per atom

=====

Entry 6:
The following is a DFT calculation (PBEsol) of a geometry-optimized Li2VCr2O6 structure.

Geometry as POSCAR:
```
Li2VCr2O6
1.0
5.872 0.060 0.043
1.665 7.426 0.034
1.665 2.436 7.015
Li V Cr O
6 3 6 18
Direct
0.329 0.664 0.000
0.329 0.000 0.664
0.671 0.336 0.000
0.671 0.000 0.336
0.000 0.330 0.670
0.000 0.670 0.330
0.500 0.353 0.647
0.500 0.000 0.000
0.500 0.647 0.353
0.830 0.671 0.998
0.819 0.340 0.340
0.830 0.998 0.671
0.170 0.329 0.002
0.170 0.002 0.329
0.181 0.660 0.660
0.749 0.501 0.501
0.052 0.498 0.157
0.052 0.157 0.498
0.251 0.499 0.499
0.598 0.510 0.167
0.598 0.167 0.510
0.948 0.502 0.843
0.935 0.179 0.179
0.948 0.843 0.502
0.402 0.490 0.833
0.413 0.157 0.157
0.402 0.833 0.490
0.723 0.167 0.824
0.723 0.824 0.167
0.065 0.821 0.821
0.277 0.176 0.833
0.277 0.833 0.176
0.587 0.843 0.843
```

Output
energy relative to the elements, uncorrected = -23.3 eV/f.u.
energy above the most stable polymorph in this dataset = 0.00 eV per formula unit
DFT total energy = -8.075 eV per atom

=====

Entry 7:
The following is a DFT calculation (PBEsol) of a geometry-optimized Li2VCr2O6 structure.

Geometry as POSCAR:
```
Li2VCr2O6
1.0
-4.097 -0.326 -2.787
-0.382 -0.295 5.021
-1.119 9.851 0.494
Li V Cr O
4 2 4 12
Direct
0.851 0.500 0.250
0.649 0.500 0.750
0.351 0.500 0.250
0.149 0.500 0.750
0.000 0.000 0.000
0.500 0.000 0.500
0.163 0.325 0.500
0.337 0.675 0.000
0.663 0.325 0.000
0.837 0.675 0.500
0.323 0.000 0.100
0.177 0.000 0.600
0.823 0.000 0.400
0.677 0.000 0.900
0.834 0.344 0.606
0.166 0.656 0.394
0.990 0.656 0.894
0.666 0.656 0.106
0.510 0.344 0.394
0.334 0.344 0.894
0.010 0.344 0.106
0.490 0.656 0.606
```

Output
energy relative to the elements, uncorrected = -22.7 eV/f.u.
energy above the most stable polymorph in this dataset = 0.62 eV per formula unit
DFT total energy = -8.019 eV per atom

=====

Entry 8:
The following is a DFT calculation (PBEsol) of a geometry-optimized Li4VCrW2O12 structure.

Geometry as POSCAR:
```
Li4VCrW2O12
1.0
5.040 0.000 -0.002
0.009 5.311 -0.013
-0.001 0.561 7.291
Li V Cr W O
4 1 1 2 12
Direct
0.002 0.425 0.214
0.505 0.066 0.788
0.005 0.591 0.798
0.491 0.939 0.217
0.498 0.470 0.486
0.001 0.015 0.007
0.989 0.977 0.505
0.509 0.512 0.988
0.687 0.817 0.443
0.892 0.003 0.753
0.684 0.203 0.065
0.799 0.322 0.446
0.193 0.325 0.952
0.620 0.505 0.749
0.383 0.517 0.262
0.810 0.697 0.061
0.197 0.702 0.564
0.310 0.817 0.953
0.113 0.029 0.260
0.313 0.211 0.562
```

Output
energy relative to the elements, uncorrected = -43.8 eV/f.u.
DFT total energy = -8.110 eV per atom

=====

Entry 9:
The following is a DFT calculation (PBEsol) of a geometry-optimized Li4V3Cr3W2O16 structure.

Geometry as POSCAR:
```
Li4V3Cr3W2O16
1.0
5.813 0.000 0.000
-2.907 5.061 0.010
0.000 0.004 9.501
Li V Cr W O
4 3 3 2 16
Direct
0.331 0.663 0.098
0.000 0.000 0.008
0.999 0.998 0.506
0.665 0.330 0.603
0.169 0.339 0.785
0.823 0.171 0.287
0.347 0.171 0.287
0.661 0.831 0.787
0.170 0.831 0.787
0.832 0.664 0.287
0.331 0.662 0.513
0.667 0.334 0.011
0.659 0.832 0.404
0.480 0.959 0.658
0.331 0.663 0.893
0.001 0.001 0.692
0.003 0.006 0.196
0.173 0.832 0.404
0.484 0.521 0.656
0.037 0.521 0.656
0.832 0.664 0.904
0.168 0.337 0.403
0.960 0.483 0.157
0.523 0.483 0.157
0.669 0.338 0.399
0.833 0.171 0.902
0.517 0.034 0.151
0.337 0.171 0.902
```

Output
energy relative to the elements, uncorrected = -58.3 eV/f.u.
DFT total energy = -8.480 eV per atom

=====

Entry 10:
The following is a DFT calculation (PBEsol) of a geometry-optimized Li2Cr3WO8 structure.

Geometry as POSCAR:
```
Li2Cr3WO8
1.0
5.828 0.000 0.000
-2.914 5.047 0.000
0.000 0.000 9.365
Li Cr W O
4 6 2 16
Direct
0.333 0.667 0.599
0.000 0.000 0.505
0.000 0.000 0.005
0.667 0.333 0.099
0.169 0.831 0.285
0.662 0.831 0.285
0.169 0.338 0.285
0.831 0.662 0.785
0.338 0.169 0.785
0.831 0.169 0.785
0.333 0.667 0.014
0.667 0.333 0.514
0.169 0.831 0.905
0.482 0.963 0.160
0.333 0.667 0.392
0.000 0.000 0.191
0.000 0.000 0.691
0.662 0.831 0.905
0.037 0.518 0.160
0.482 0.518 0.160
0.831 0.662 0.405
0.169 0.338 0.905
0.518 0.482 0.660
0.963 0.482 0.660
0.667 0.333 0.892
0.338 0.169 0.405
0.518 0.037 0.660
0.831 0.169 0.405
```

Output
energy relative to the elements, uncorrected = -27.9 eV/f.u.
energy above the most stable polymorph in this dataset = 0.17 eV per formula unit
DFT total energy = -8.452 eV per atom

=====

Entry 11:
The following is a DFT calculation (PBEsol) of a geometry-optimized Li2Cr3WO8 structure.

Geometry as POSCAR:
```
Li2Cr3WO8
1.0
8.271 0.000 0.000
0.000 8.271 0.000
0.000 0.000 8.271
Li Cr W O
8 12 4 32
Direct
0.489 0.489 0.489
0.761 0.761 0.761
0.739 0.239 0.261
0.011 0.511 0.989
0.989 0.011 0.511
0.261 0.739 0.239
0.239 0.261 0.739
0.511 0.989 0.011
0.629 0.621 0.125
0.625 0.871 0.379
0.621 0.125 0.629
0.879 0.875 0.129
0.875 0.129 0.879
0.871 0.379 0.625
0.129 0.879 0.875
0.125 0.629 0.621
0.121 0.375 0.371
0.379 0.625 0.871
0.375 0.371 0.121
0.371 0.121 0.375
0.625 0.375 0.875
0.875 0.625 0.375
0.125 0.125 0.125
0.375 0.875 0.625
0.621 0.614 0.884
0.616 0.379 0.114
0.605 0.105 0.395
0.636 0.629 0.366
0.614 0.884 0.621
0.645 0.855 0.145
0.634 0.136 0.871
0.629 0.366 0.636
0.871 0.634 0.136
0.866 0.864 0.371
0.855 0.145 0.645
0.886 0.116 0.121
0.864 0.371 0.866
0.895 0.895 0.895
0.884 0.621 0.614
0.879 0.386 0.384
0.121 0.886 0.116
0.116 0.121 0.886
0.105 0.395 0.605
0.136 0.871 0.634
0.114 0.616 0.379
0.145 0.645 0.855
0.134 0.364 0.129
0.129 0.134 0.364
0.371 0.866 0.864
0.366 0.636 0.629
0.355 0.355 0.355
0.386 0.384 0.879
0.364 0.129 0.134
0.395 0.605 0.105
0.384 0.879 0.386
0.379 0.114 0.616
```

Output
energy relative to the elements, uncorrected = -28.0 eV/f.u.
energy above the most stable polymorph in this dataset = 0.00 eV per formula unit
DFT total energy = -8.464 eV per atom

=====

Entry 12:
The following is a DFT calculation (PBEsol) of a geometry-optimized Li2Cr3WO8 structure.

Geometry as POSCAR:
```
Li2Cr3WO8
1.0
5.918 0.000 0.000
2.959 5.125 0.000
2.959 1.708 4.671
Li Cr W O
2 3 1 8
Direct
0.874 0.874 0.379
0.126 0.126 0.621
0.500 0.000 0.000
0.500 0.500 0.000
0.000 0.500 0.000
0.500 0.500 0.500
0.736 0.736 0.793
0.264 0.264 0.207
0.280 0.739 0.242
0.739 0.739 0.242
0.739 0.280 0.242
0.261 0.720 0.758
0.261 0.261 0.758
0.720 0.261 0.758
```

Output
energy relative to the elements, uncorrected = -28.0 eV/f.u.
energy above the most stable polymorph in this dataset = 0.02 eV per formula unit
DFT total energy = -8.463 eV per atom